(1)
# RbSr2Pb

A relaxed structure of RbSr2Pb (GGA-PBE, Alexandria via LeMat-Bulk).

The crystal system is tetragonal. As for the energy relative to the elements: 189 meV per atom. For the density of states at the Fermi level, the calculation gives 0.89 states/eV per atom. The calculation puts the raw total energy at -7.28 eV per formula unit. The calculation puts the total magnetization at 0.00 μB per cell.

The structure belongs to space group I-42d (No. 122); the cell edges are 7.641, 7.641 and 20.397 Å and the angles 90.00°, 90.00° and 90.00°. The distinct sites, in fractional coordinates, are Rb at (0.000, 0.000, 0.000), Sr at (0.082, 0.250, 0.625) and Pb at (0.000, 0.000, 0.500).



(2)
# Na3TcHg

A relaxed structure of Na3TcHg (GGA-PBE, Alexandria via LeMat-Bulk).

As for the distance to the lowest polymorph of the same formula: 0 meV per atom. The crystal system is cubic. As for the energy relative to the elements: 1048 meV per atom. For the density of states at the Fermi level, the calculation gives 1.07 states/eV per atom. The calculation puts the raw total energy at -9.39 eV per formula unit. The calculation puts the total magnetization at 3.84 μB per cell.

The structure belongs to space group Pm-3m (No. 221); the cell edges are 5.572, 5.572 and 5.572 Å and the angles 90.00°, 90.00° and 90.00°. The distinct sites, in fractional coordinates, are Na at (0.000, 0.000, 0.500), Tc at (0.500, 0.500, 0.500) and Hg at (0.000, 0.000, 0.000).



(3)
# Th2SnAs3Rh4

A relaxed structure of Th2SnAs3Rh4 (GGA-PBE, Alexandria via LeMat-Bulk).

The crystal system is tetragonal. As for the energy relative to the elements: -882 meV per atom. For the density of states at the Fermi level, the calculation gives 0.53 states/eV per atom. The calculation puts the raw total energy at -71.02 eV per formula unit. The calculation puts the total magnetization at 0.00 μB per cell.

The structure belongs to space group P-4m2 (No. 115); the cell edges are 4.164, 4.164 and 11.071 Å and the angles 90.00°, 90.00° and 90.00°. The distinct sites, in fractional coordinates, are Th at (0.000, 0.500, 0.235), Sn at (0.000, 0.000, 0.500), As at (0.000, 0.500, 0.870), As at (0.500, 0.500, 0.500), Rh at (0.000, 0.000, 0.000), Rh at (0.000, 0.500, 0.653) and Rh at (0.500, 0.500, 0.000).



(4)
# ErNpBr6

A relaxed structure of ErNpBr6 (GGA-PBE, Alexandria via LeMat-Bulk).

The crystal system is monoclinic. For the density of states at the Fermi level, the calculation gives 0.53 states/eV per atom. The calculation puts the raw total energy at -40.04 eV per formula unit. The calculation puts the total magnetization at 8.00 μB per cell.

The structure belongs to space group C2/m (No. 12); the cell edges are 7.088, 13.197 and 7.024 Å and the angles 90.00°, 107.00° and 90.00°. The distinct sites, in fractional coordinates, are Er at (0.000, 0.000, 0.000), Np at (0.000, 0.500, 0.500), Br at (0.238, 0.146, 0.243) and Br at (0.247, 0.000, 0.756).



(5)
# SrTaVBi2

A relaxed structure of SrTaVBi2 (GGA-PBE, Alexandria via LeMat-Bulk).

The crystal system is tetragonal. As for the energy relative to the elements: 2373 meV per atom. For the density of states at the Fermi level, the calculation gives 2.24 states/eV per atom. The calculation puts the raw total energy at -18.55 eV per formula unit. The calculation puts the total magnetization at 0.97 μB per cell.

The structure belongs to space group P4/mmm (No. 123); the cell edges are 5.823, 5.823 and 5.197 Å and the angles 90.00°, 90.00° and 90.00°. The distinct sites, in fractional coordinates, are Sr at (0.000, 0.000, 0.000), Ta at (0.000, 0.000, 0.500), V at (0.500, 0.500, 0.500) and Bi at (0.000, 0.500, 0.000).



(6)
# Ni2HS

A relaxed structure of Ni2HS (GGA-PBE, Alexandria via LeMat-Bulk).

As for the distance to the lowest polymorph of the same formula: 376 meV per atom. The crystal system is cubic. For the density of states at the Fermi level, the calculation gives 0.80 states/eV per atom. The calculation puts the raw total energy at -17.97 eV per formula unit. The calculation puts the total magnetization at 0.00 μB per cell.

The structure belongs to space group Fm-3m (No. 225); the cell edges are 5.366, 5.366 and 5.366 Å and the angles 90.00°, 90.00° and 90.00°. The distinct sites, in fractional coordinates, are Ni at (0.250, 0.250, 0.250), H at (0.000, 0.000, 0.000) and S at (0.000, 0.000, 0.500).